Entry 1:
# Ca2GaGePd6

Crystalline Ca2GaGePd6 at its relaxed geometry (PBE, Alexandria via LeMat-Bulk).

Unit cell a=6.419 b=6.480 c=6.440 alpha=84.45 beta=51.16 gamma=105.82
Atoms (fractional coordinates):
Pd (0.249, 0.420, 0.829)
Pd (0.751, 0.580, 0.171)
Pd (0.195, 0.200, 0.497)
Pd (0.305, 0.801, 0.003)
Pd (0.805, 0.800, 0.503)
Pd (0.695, 0.199, 0.997)
Ca (0.748, 0.251, 0.496)
Ca (0.252, 0.749, 0.504)
Ga (0.000, 0.000, 0.000)
Ge (0.500, 0.500, 0.000)

Output
Total energy = -0.35903 Ry/atom
Calculated formation energy = -0.604 eV per atom
Space-group type = P-1, No. 2

=====

Entry 2:
# CsKTeN2

Crystalline CsKTeN2 at its relaxed geometry (PBE, Alexandria via LeMat-Bulk).

Unit cell a=5.619 b=5.619 c=6.733 alpha=90.00 beta=90.00 gamma=90.00
Site moments in Bohr magnetons follow the coordinates.
Atoms (fractional coordinates):
Cs (0.500, 0.500, 0.500)  0.01
N (0.500, 0.000, 0.000)  1.66
N (0.000, 0.500, 0.000)  1.66
Te (0.000, 0.000, 0.500)  0.43
K (0.000, 0.000, 0.000)  0.03

Output
Raw formation energy = 1.366 eV/atom
Total energy = -0.21923 Ry/atom
Energy above the most stable polymorph in this dataset = 0 meV/atom
Space-group type = P4/mmm, No. 123